Entry from the Alexandria database: an optimized crystal structure of HoAlB4 (PBE).

The structure in POSCAR format:
```
HoAlB4
1.0
5.946 0.000 0.000
0.000 11.521 0.000
0.000 0.000 3.552
Ho Al B
4 4 16
direct
0.129 0.150 0.000
0.371 0.650 0.000
0.629 0.350 0.000
0.871 0.850 0.000
0.138 0.410 0.000
0.362 0.910 0.000
0.638 0.090 0.000
0.862 0.590 0.000
0.026 0.693 0.500
0.114 0.547 0.500
0.134 0.969 0.500
0.210 0.813 0.500
0.290 0.313 0.500
0.366 0.469 0.500
0.386 0.047 0.500
0.474 0.193 0.500
0.526 0.807 0.500
0.614 0.953 0.500
0.634 0.531 0.500
0.710 0.687 0.500
0.790 0.187 0.500
0.866 0.031 0.500
0.886 0.453 0.500
0.974 0.307 0.500
```

Summary:
Its space group is Pbam, No. 55. As for the total energy: -0.466 Ry/atom. The crystal system is orthorhombic.

***

Entry from the Alexandria database: an optimized crystal structure of HoAlB (PBE).

The structure in POSCAR format:
```
HoAlB
1.0
3.763 0.000 0.000
-1.882 3.259 0.000
0.000 0.000 4.050
Ho Al B
1 1 1
direct
0.000 0.000 0.000
0.333 0.667 0.500
0.667 0.333 0.500
```

Summary:
The calculation puts the distance to the lowest polymorph of the same formula at 0.000 kcal/mol of atoms. Its space group is P-6m2, No. 187. As for the total energy: -0.395 Ry/atom. The crystal system is hexagonal.

***

Entry from the Alexandria database: an optimized crystal structure of HoAlB (PBE).

The structure in POSCAR format:
```
HoAlB
1.0
0.000 3.990 4.319
2.851 0.000 4.319
2.851 3.990 0.000
Ho Al B
2 2 2
direct
0.183 0.817 0.183
0.817 0.183 0.817
0.321 0.321 0.679
0.679 0.679 0.321
0.250 0.250 0.250
0.750 0.750 0.750
```

Summary:
The calculation puts the distance to the lowest polymorph of the same formula at 12.394 kcal/mol of atoms. Its space group is Fmmm, No. 69. As for the total energy: -0.356 Ry/atom. The crystal system is orthorhombic.

***

Entry from the Alexandria database: an optimized crystal structure of Ho3AlB (PBE).

The structure in POSCAR format:
```
Ho3AlB
1.0
4.965 0.000 0.000
0.000 4.965 0.000
0.000 0.000 4.965
Ho Al B
3 1 1
direct
0.000 0.000 0.500
0.000 0.500 0.000
0.500 0.000 0.000
0.500 0.500 0.500
0.000 0.000 0.000
```

Summary:
Its space group is Pm-3m, No. 221. As for the total energy: -0.366 Ry/atom. The crystal system is cubic.

***

Entry from the Alexandria database: an optimized crystal structure of Ho3AlNi9B2 (PBE).

The structure in POSCAR format:
```
Ho3AlNi9B2
1.0
5.375 0.000 0.000
-2.688 4.655 0.000
0.000 0.000 8.406
Ho Al Ni B
3 1 9 2
direct
0.000 0.000 0.000
0.333 0.667 0.632
0.667 0.333 0.368
0.000 0.000 0.500
0.000 0.500 0.000
0.165 0.330 0.279
0.165 0.835 0.279
0.330 0.165 0.721
0.500 0.000 0.000
0.500 0.500 0.000
0.670 0.835 0.279
0.835 0.165 0.721
0.835 0.670 0.721
0.333 0.667 0.144
0.667 0.333 0.856
```

Summary:
Its space group is P-3m1, No. 164. As for the total energy: -0.438 Ry/atom. The crystal system is trigonal.

***

Entry from the Alexandria database: an optimized crystal structure of Ho2AlNi12B3 (PBE).

The structure in POSCAR format:
```
Ho2AlNi12B3
1.0
3.533 2.040 5.351
-3.533 2.040 5.351
0.000 -4.079 5.351
Ho Al Ni B
2 1 12 3
direct
0.094 0.094 0.094
0.906 0.906 0.906
0.500 0.500 0.500
0.075 0.642 0.642
0.228 0.228 0.624
0.228 0.624 0.228
0.358 0.358 0.925
0.358 0.925 0.358
0.376 0.772 0.772
0.624 0.228 0.228
0.642 0.075 0.642
0.642 0.642 0.075
0.772 0.376 0.772
0.772 0.772 0.376
0.925 0.358 0.358
0.000 0.500 0.500
0.500 0.000 0.500
0.500 0.500 0.000
```

Summary:
Its space group is R-3m, No. 166. As for the total energy: -0.428 Ry/atom. The crystal system is trigonal.